# AsRh3Pb

AsRh3Pb after structural relaxation (PBE, the Alexandria database).

a b c (Å): 4.631 4.631 4.631
angles (deg): 90.00 90.00 90.00
Space group Pm-3m (No. 221)
Asymmetric unit:
As1 0.000 0.000 0.000 [1 per cell]
Rh1 0.000 0.000 0.500 [3 per cell]
Pb1 0.500 0.500 0.500 [1 per cell]

Output
DFT total energy: -5.8346 eV per atom
ΔE_f: 0.248 eV/atom
ΔE to the lowest computed polymorph: 0.0 meV per atom
DOS(E_F): 9.9 states/eV/f.u.